(1)
First-principles (PBE) data for a geometry-optimized Ta2TlF structure, as listed in the Alexandria database.

```
Ta2TlF
1.0
4.7216 0.0000 0.0000
0.0000 4.7216 0.0000
2.3608 2.3608 7.5899
Tl F Ta
2 2 4
Direct
0.0000 0.0000 0.0000 Tl
0.7500 0.2500 0.5000 Tl
0.5000 0.5000 0.0000 F
0.2500 0.7500 0.5000 F
0.2708 0.1250 0.2500 Ta
0.4792 0.6250 0.2500 Ta
0.3750 0.7292 0.7500 Ta
0.8750 0.5208 0.7500 Ta
```

Calculated values
Its magnetic moment is 0.0 μB/cell. The volume is 84.60 Å³/f.u. Its uncorrected formation energy is 0.5298 eV per atom. The energy above the lowest structure with this stoichiometry comes out at 0.171 eV/atom.

---

(2)
First-principles (PBE) data for a geometry-optimized TaTl3F structure, as listed in the Alexandria database.

```
TaTl3F
1.0
-4.5043 -2.6077 -1.9599
1.6840 -4.7205 2.4107
-2.7938 1.3590 4.6127
Tl F Ta
3 1 1
Direct
0.0000 0.5000 0.0000 Tl
0.0000 0.0000 0.5000 Tl
0.5000 0.0000 0.0000 Tl
0.5000 0.5000 0.5000 F
0.0000 0.0000 0.0000 Ta
```

Calculated values
Its magnetic moment is 2.3 μB/cell. The volume is 172.01 Å³/f.u. Its uncorrected formation energy is 0.4056 eV per atom. The energy above the lowest structure with this stoichiometry comes out at 0.135 eV/atom.

---

(3)
First-principles (PBE) data for a geometry-optimized Ta3TlF structure, as listed in the Alexandria database.

```
Ta3TlF
1.0
-0.5114 -3.9389 -1.9178
3.8778 0.4915 -2.0435
2.0386 -1.9230 3.4060
Tl F Ta
1 1 3
Direct
0.5000 0.5000 0.5000 Tl
0.0000 0.0000 0.0000 F
0.0000 0.5000 0.0000 Ta
0.0000 0.0000 0.5000 Ta
0.5000 0.0000 0.0000 Ta
```

Calculated values
Its magnetic moment is 0.0 μB/cell. The volume is 85.81 Å³/f.u. Its uncorrected formation energy is 0.3718 eV per atom. The energy above the lowest structure with this stoichiometry comes out at 0.000 eV/atom.

---

(4)
First-principles (PBE) data for a geometry-optimized TaTlF2 structure, as listed in the Alexandria database.

```
TaTlF2
1.0
-1.5760 4.1019 -0.2627
-3.6719 -1.2787 2.0640
0.3649 2.9621 7.1786
Tl F Ta
2 4 2
Direct
0.0000 0.0000 0.0000 Tl
0.7500 0.2500 0.5000 Tl
0.4400 0.1250 0.2500 F
0.3100 0.6250 0.2500 F
0.3750 0.5600 0.7500 F
0.8750 0.6900 0.7500 F
0.5000 0.5000 0.0000 Ta
0.2500 0.7500 0.5000 Ta
```

Calculated values
Its magnetic moment is 0.0 μB/cell. The volume is 69.02 Å³/f.u. Its uncorrected formation energy is -1.1236 eV per atom. The energy above the lowest structure with this stoichiometry comes out at 0.415 eV/atom.

---

(5)
First-principles (PBE) data for a geometry-optimized Ta3TlF structure, as listed in the Alexandria database.

```
Ta3TlF
1.0
5.1682 0.0000 0.0000
0.0000 5.1682 0.0000
0.0000 0.0000 5.1682
Tl F Ta
1 1 3
Direct
0.0000 0.0000 0.0000 Tl
0.5000 0.5000 0.5000 F
0.0000 0.5000 0.0000 Ta
0.0000 0.0000 0.5000 Ta
0.5000 0.0000 0.0000 Ta
```

Calculated values
Its magnetic moment is 1.9 μB/cell. The volume is 138.05 Å³/f.u. Its uncorrected formation energy is 2.5294 eV per atom. The energy above the lowest structure with this stoichiometry comes out at 2.158 eV/atom.

---

(6)
First-principles (PBE) data for a geometry-optimized Ta2TlF structure, as listed in the Alexandria database.

```
Ta2TlF
1.0
0.0000 3.2726 3.2726
3.2726 0.0000 3.2726
3.2726 3.2726 0.0000
Tl F Ta
1 1 2
Direct
0.5000 0.5000 0.5000 Tl
0.0000 0.0000 0.0000 F
0.2500 0.2500 0.2500 Ta
0.7500 0.7500 0.7500 Ta
```

Calculated values
Its magnetic moment is 0.0 μB/cell. The volume is 70.10 Å³/f.u. Its uncorrected formation energy is 0.3587 eV per atom. The energy above the lowest structure with this stoichiometry comes out at 0.000 eV/atom.